{
  "formula": "Li6InHg",
  "functional": "PBE-GGA",
  "state": "optimized geometry",
  "lattice": [[4.892, 0.000, 0.000], [0.000, 2.946, 5.107], [0.000, -2.946, 5.107]],
  "species": ["Li", "Li", "Li", "Li", "Li", "Li", "In", "Hg"],
  "fractional_positions": [[0.000, 0.000, 0.000], [0.000, 0.000, 0.513], [0.000, 0.513, 0.000], [0.500, 0.340, 0.340], [0.500, 0.341, 0.832], [0.500, 0.832, 0.341], [0.500, 0.838, 0.838], [0.000, 0.504, 0.504]],
  "sg": "Amm2, No. 38",
  "magmom_total_mub_per_atom": 0.00,
  "energy_ev_per_atom": -2.06,
  "ef_ev_per_fu": -2.0
}

{
  "formula": "Li3In12Hg",
  "functional": "PBE-GGA",
  "state": "optimized geometry",
  "lattice": [[4.603, 0.000, 0.000], [0.000, 4.603, 0.000], [0.000, 0.000, 18.521]],
  "species": ["Li", "Li", "Li", "In", "In", "In", "In", "In", "In", "In", "In", "In", "In", "In", "In", "Hg"],
  "fractional_positions": [[0.000, 0.000, 0.000], [0.000, 0.000, 0.242], [0.000, 0.000, 0.758], [0.000, 0.500, 0.123], [0.000, 0.500, 0.367], [0.000, 0.500, 0.633], [0.000, 0.500, 0.877], [0.500, 0.000, 0.123], [0.500, 0.000, 0.367], [0.500, 0.000, 0.633], [0.500, 0.000, 0.877], [0.500, 0.500, 0.000], [0.500, 0.500, 0.244], [0.500, 0.500, 0.500], [0.500, 0.500, 0.756], [0.000, 0.000, 0.500]],
  "sg": "P4/mmm, No. 123",
  "magmom_total_mub_per_atom": 0.00,
  "energy_ev_per_atom": -2.53,
  "ef_ev_per_fu": -1.5
}

{
  "formula": "Li3In4Hg4",
  "functional": "PBE-GGA",
  "state": "optimized geometry",
  "lattice": [[3.441, 0.000, 0.000], [-0.056, 4.883, 0.000], [-1.540, -2.453, 14.960]],
  "species": ["Li", "Li", "Li", "In", "In", "In", "In", "Hg", "Hg", "Hg", "Hg"],
  "fractional_positions": [[0.000, 0.000, 0.000], [0.351, 0.357, 0.712], [0.649, 0.643, 0.288], [0.229, 0.728, 0.459], [0.429, 0.919, 0.834], [0.571, 0.081, 0.166], [0.771, 0.272, 0.541], [0.042, 0.550, 0.102], [0.165, 0.167, 0.338], [0.835, 0.833, 0.662], [0.958, 0.450, 0.898]],
  "sg": "P-1, No. 2",
  "magmom_total_mub_per_atom": 0.00,
  "energy_ev_per_atom": -1.78,
  "ef_ev_per_fu": -1.7
}

{
  "formula": "LiIn3Hg7",
  "functional": "PBE-GGA",
  "state": "optimized geometry",
  "lattice": [[5.722, -5.077, 0.000], [5.722, 5.077, 0.000], [-2.739, 0.000, 5.086]],
  "species": ["Li", "In", "In", "In", "Hg", "Hg", "Hg", "Hg", "Hg", "Hg", "Hg"],
  "fractional_positions": [[0.000, 0.000, 0.000], [0.310, 0.690, 0.500], [0.500, 0.500, 0.000], [0.690, 0.310, 0.500], [0.000, 0.000, 0.500], [0.081, 0.592, 0.868], [0.261, 0.261, 0.453], [0.408, 0.919, 0.132], [0.592, 0.081, 0.868], [0.739, 0.739, 0.547], [0.919, 0.408, 0.132]],
  "sg": "C2/m, No. 12",
  "magmom_total_mub_per_atom": 0.00,
  "polymorph_energy_ev_per_fu": 0.000,
  "energy_ev_per_atom": -1.14,
  "ef_ev_per_fu": -0.2
}

{
  "formula": "LiIn5Hg5",
  "functional": "PBE-GGA",
  "state": "optimized geometry",
  "lattice": [[6.733, -2.941, 0.000], [6.733, 2.941, 0.000], [-2.101, 0.000, 7.406]],
  "species": ["Li", "In", "In", "In", "In", "In", "Hg", "Hg", "Hg", "Hg", "Hg"],
  "fractional_positions": [[0.000, 0.000, 0.000], [0.000, 0.000, 0.500], [0.330, 0.330, 0.654], [0.410, 0.410, 0.307], [0.590, 0.590, 0.693], [0.670, 0.670, 0.346], [0.172, 0.172, 0.289], [0.185, 0.185, 0.892], [0.500, 0.500, 0.000], [0.815, 0.815, 0.108], [0.828, 0.828, 0.711]],
  "sg": "C2/m, No. 12",
  "magmom_total_mub_per_atom": 0.00,
  "energy_ev_per_atom": -1.58,
  "ef_ev_per_fu": -0.2
}

{
  "formula": "Li4In3Hg",
  "functional": "PBE-GGA",
  "state": "optimized geometry",
  "lattice": [[-2.355, 2.355, 6.899], [2.355, -2.355, 6.899], [2.355, 2.355, -6.899]],
  "species": ["Li", "Li", "Li", "Li", "In", "In", "In", "Hg"],
  "fractional_positions": [[0.121, 0.621, 0.500], [0.379, 0.879, 0.500], [0.621, 0.121, 0.500], [0.879, 0.379, 0.500], [0.000, 0.000, 0.000], [0.249, 0.249, 0.000], [0.751, 0.751, 0.000], [0.500, 0.500, 0.000]],
  "sg": "I4/mmm, No. 139",
  "magmom_total_mub_per_atom": 0.00,
  "energy_ev_per_atom": -2.33,
  "ef_ev_per_fu": -2.4
}

{
  "formula": "LiIn4Hg4",
  "functional": "PBE-GGA",
  "state": "optimized geometry",
  "lattice": [[-4.513, 4.513, 2.850], [4.513, -4.513, 2.850], [4.513, 4.513, -2.850]],
  "species": ["Li", "In", "In", "In", "In", "Hg", "Hg", "Hg", "Hg"],
  "fractional_positions": [[0.000, 0.000, 0.000], [0.289, 0.378, 0.667], [0.378, 0.711, 0.089], [0.622, 0.289, 0.911], [0.711, 0.622, 0.333], [0.039, 0.676, 0.714], [0.324, 0.039, 0.363], [0.676, 0.961, 0.637], [0.961, 0.324, 0.286]],
  "sg": "I4/m, No. 87",
  "magmom_total_mub_per_atom": 0.00,
  "polymorph_energy_ev_per_fu": 0.231,
  "energy_ev_per_atom": -1.61,
  "ef_ev_per_fu": -0.4
}

{
  "formula": "LiIn4Hg",
  "functional": "PBE-GGA",
  "state": "optimized geometry",
  "lattice": [[0.000, 4.358, 4.358], [4.358, 0.000, 4.358], [4.358, 4.358, 0.000]],
  "species": ["Li", "In", "In", "In", "In", "Hg"],
  "fractional_positions": [[0.000, 0.000, 0.000], [0.375, 0.375, 0.375], [0.375, 0.375, 0.876], [0.375, 0.876, 0.375], [0.876, 0.375, 0.375], [0.750, 0.750, 0.750]],
  "sg": "F-43m, No. 216",
  "magmom_total_mub_per_atom": 0.00,
  "polymorph_energy_ev_per_fu": 0.716,
  "energy_ev_per_atom": -2.15,
  "ef_ev_per_fu": 0.3
}

{
  "formula": "LiIn9Hg6",
  "functional": "PBE-GGA",
  "state": "optimized geometry",
  "lattice": [[5.788, -6.223, 0.000], [5.788, 6.223, 0.000], [-5.774, 0.000, 5.791]],
  "species": ["Li", "In", "In", "In", "In", "In", "In", "In", "In", "In", "Hg", "Hg", "Hg", "Hg", "Hg", "Hg"],
  "fractional_positions": [[0.000, 0.000, 0.000], [0.004, 0.684, 0.488], [0.196, 0.516, 0.199], [0.316, 0.996, 0.512], [0.484, 0.804, 0.801], [0.500, 0.500, 0.000], [0.516, 0.196, 0.199], [0.684, 0.004, 0.488], [0.804, 0.484, 0.801], [0.996, 0.316, 0.512], [0.138, 0.138, 0.804], [0.236, 0.764, 0.000], [0.335, 0.335, 0.473], [0.665, 0.665, 0.527], [0.764, 0.236, 0.000], [0.862, 0.862, 0.196]],
  "sg": "C2/m, No. 12",
  "magmom_total_mub_per_atom": 0.00,
  "energy_ev_per_atom": -1.80,
  "ef_ev_per_fu": -0.5
}

{
  "formula": "Li2InHg2",
  "functional": "PBE-GGA",
  "state": "optimized geometry",
  "lattice": [[4.790, 0.000, 0.000], [-2.395, 4.148, 0.000], [0.000, 0.000, 5.831]],
  "species": ["Li", "Li", "In", "Hg", "Hg"],
  "fractional_positions": [[0.333, 0.667, 0.178], [0.667, 0.333, 0.822], [0.000, 0.000, 0.500], [0.333, 0.667, 0.711], [0.667, 0.333, 0.289]],
  "sg": "P-3m1, No. 164",
  "magmom_total_mub_per_atom": 0.00,
  "polymorph_energy_ev_per_fu": 0.335,
  "energy_ev_per_atom": -1.65,
  "ef_ev_per_fu": -1.1
}

{
  "formula": "LiIn2Hg2",
  "functional": "PBE-GGA",
  "state": "optimized geometry",
  "lattice": [[8.110, 0.000, 0.000], [0.000, 8.110, 0.000], [0.000, 0.000, 3.926]],
  "species": ["Li", "Li", "In", "In", "In", "In", "Hg", "Hg", "Hg", "Hg"],
  "fractional_positions": [[0.000, 0.000, 0.000], [0.500, 0.500, 0.000], [0.139, 0.361, 0.000], [0.361, 0.861, 0.000], [0.639, 0.139, 0.000], [0.861, 0.639, 0.000], [0.166, 0.666, 0.500], [0.334, 0.166, 0.500], [0.666, 0.834, 0.500], [0.834, 0.334, 0.500]],
  "sg": "P4/mbm, No. 127",
  "magmom_total_mub_per_atom": 0.00,
  "polymorph_energy_ev_per_fu": 0.385,
  "energy_ev_per_atom": -1.64,
  "ef_ev_per_fu": -0.2
}

{
  "formula": "LiMgIn2Hg5",
  "functional": "PBE-GGA",
  "state": "optimized geometry",
  "lattice": [[1.883, -8.585, 0.000], [1.883, 8.585, 0.000], [0.000, 0.000, 13.660]],
  "species": ["Li", "Li", "Mg", "Mg", "In", "In", "In", "In", "Hg", "Hg", "Hg", "Hg", "Hg", "Hg", "Hg", "Hg", "Hg", "Hg"],
  "fractional_positions": [[0.065, 0.935, 0.500], [0.935, 0.065, 0.000], [0.273, 0.727, 0.118], [0.727, 0.273, 0.618], [0.354, 0.646, 0.796], [0.400, 0.600, 0.435], [0.600, 0.400, 0.935], [0.646, 0.354, 0.296], [0.005, 0.995, 0.316], [0.104, 0.896, 0.114], [0.179, 0.821, 0.773], [0.223, 0.777, 0.452], [0.446, 0.554, 0.146], [0.554, 0.446, 0.646], [0.777, 0.223, 0.952], [0.821, 0.179, 0.273], [0.896, 0.104, 0.614], [0.995, 0.005, 0.816]],
  "sg": "Cmc2_1, No. 36",
  "magmom_total_mub_per_atom": 0.00,
  "energy_ev_per_atom": -1.25,
  "ef_ev_per_fu": -0.8
}

{
  "formula": "LiMgIn2Hg4",
  "functional": "PBE-GGA",
  "state": "optimized geometry",
  "lattice": [[-2.984, 2.984, 5.866], [2.984, -2.984, 5.866], [2.984, 2.984, -5.866]],
  "species": ["Li", "Mg", "In", "In", "Hg", "Hg", "Hg", "Hg"],
  "fractional_positions": [[0.000, 0.000, 0.000], [0.750, 0.250, 0.500], [0.250, 0.750, 0.500], [0.500, 0.500, 0.000], [0.235, 0.235, 0.000], [0.508, 0.008, 0.500], [0.765, 0.765, 0.000], [0.992, 0.492, 0.500]],
  "sg": "I-4m2, No. 119",
  "magmom_total_mub_per_atom": 0.00,
  "energy_ev_per_atom": -1.33,
  "ef_ev_per_fu": -0.5
}

{
  "formula": "LiMgIn2Hg",
  "functional": "PBE-GGA",
  "state": "optimized geometry",
  "lattice": [[-2.074, 2.074, 7.346], [2.074, -2.074, 7.346], [2.074, 2.074, -7.346]],
  "species": ["Li", "Mg", "In", "In", "Hg"],
  "fractional_positions": [[0.000, 0.000, 0.000], [0.190, 0.190, 0.000], [0.352, 0.852, 0.500], [0.852, 0.352, 0.500], [0.610, 0.610, 0.000]],
  "sg": "I4mm, No. 107",
  "magmom_total_mub_per_atom": 0.00,
  "energy_ev_per_atom": -1.87,
  "ef_ev_per_fu": -0.1
}

{
  "formula": "Li5Mg2In2Hg",
  "functional": "PBE-GGA",
  "state": "optimized geometry",
  "lattice": [[10.382, 0.000, 0.000], [0.000, 10.382, 0.000], [0.000, 0.000, 3.848]],
  "species": ["Li", "Li", "Li", "Li", "Li", "Li", "Li", "Li", "Li", "Li", "Mg", "Mg", "Mg", "Mg", "In", "In", "In", "In", "Hg", "Hg"],
  "fractional_positions": [[0.000, 0.500, 0.000], [0.064, 0.188, 0.000], [0.188, 0.936, 0.000], [0.312, 0.436, 0.000], [0.436, 0.688, 0.000], [0.500, 0.000, 0.000], [0.564, 0.312, 0.000], [0.688, 0.564, 0.000], [0.812, 0.064, 0.000], [0.936, 0.812, 0.000], [0.165, 0.665, 0.500], [0.335, 0.165, 0.500], [0.665, 0.835, 0.500], [0.835, 0.335, 0.500], [0.133, 0.367, 0.500], [0.367, 0.867, 0.500], [0.633, 0.133, 0.500], [0.867, 0.633, 0.500], [0.000, 0.000, 0.500], [0.500, 0.500, 0.500]],
  "sg": "P4/mbm, No. 127",
  "magmom_total_mub_per_atom": 0.00,
  "energy_ev_per_atom": -2.01,
  "ef_ev_per_fu": -1.6
}

{
  "formula": "LiMg2In2Hg4",
  "functional": "PBE-GGA",
  "state": "optimized geometry",
  "lattice": [[7.093, -2.056, 0.000], [7.093, 2.056, 0.000], [-2.463, 0.000, 7.007]],
  "species": ["Li", "Mg", "Mg", "In", "In", "Hg", "Hg", "Hg", "Hg"],
  "fractional_positions": [[0.000, 0.000, 0.000], [0.118, 0.118, 0.641], [0.882, 0.882, 0.359], [0.334, 0.334, 0.000], [0.666, 0.666, 0.000], [0.214, 0.214, 0.329], [0.464, 0.464, 0.683], [0.536, 0.536, 0.317], [0.786, 0.786, 0.671]],
  "sg": "C2/m, No. 12",
  "magmom_total_mub_per_atom": 0.00,
  "energy_ev_per_atom": -1.45,
  "ef_ev_per_fu": -1.2
}

{
  "formula": "LiMg2In5Hg",
  "functional": "PBE-GGA",
  "state": "optimized geometry",
  "lattice": [[7.871, 0.000, 0.000], [0.000, 7.871, 0.000], [0.000, 0.000, 7.488]],
  "species": ["Li", "Li", "Mg", "Mg", "Mg", "Mg", "In", "In", "In", "In", "In", "In", "In", "In", "In", "In", "Hg", "Hg"],
  "fractional_positions": [[0.000, 0.500, 0.000], [0.500, 0.000, 0.000], [0.125, 0.375, 0.500], [0.375, 0.875, 0.500], [0.625, 0.125, 0.500], [0.875, 0.625, 0.500], [0.000, 0.000, 0.500], [0.197, 0.697, 0.220], [0.197, 0.697, 0.780], [0.303, 0.197, 0.220], [0.303, 0.197, 0.780], [0.500, 0.500, 0.500], [0.697, 0.803, 0.220], [0.697, 0.803, 0.780], [0.803, 0.303, 0.220], [0.803, 0.303, 0.780], [0.000, 0.000, 0.000], [0.500, 0.500, 0.000]],
  "sg": "P4/mbm, No. 127",
  "magmom_total_mub_per_atom": 0.00,
  "energy_ev_per_atom": -2.10,
  "ef_ev_per_fu": 0.2
}

{
  "formula": "LiMg2InHg6",
  "functional": "PBE-GGA",
  "state": "optimized geometry",
  "lattice": [[4.090, -3.947, 0.000], [4.090, 3.947, 0.000], [-2.363, 0.000, 7.513]],
  "species": ["Li", "Mg", "Mg", "In", "Hg", "Hg", "Hg", "Hg", "Hg", "Hg"],
  "fractional_positions": [[0.000, 0.000, 0.000], [0.276, 0.276, 0.779], [0.724, 0.724, 0.221], [0.500, 0.500, 0.500], [0.117, 0.117, 0.384], [0.201, 0.602, 0.153], [0.398, 0.799, 0.847], [0.602, 0.201, 0.153], [0.799, 0.398, 0.847], [0.883, 0.883, 0.616]],
  "sg": "C2/m, No. 12",
  "magmom_total_mub_per_atom": 0.00,
  "energy_ev_per_atom": -1.06,
  "ef_ev_per_fu": -1.0
}

{
  "formula": "Li3Mg2In2Hg4",
  "functional": "PBE-GGA",
  "state": "optimized geometry",
  "lattice": [[4.800, 0.000, 0.000], [-2.400, 4.157, 0.000], [0.000, 0.000, 12.441]],
  "species": ["Li", "Li", "Li", "Mg", "Mg", "In", "In", "Hg", "Hg", "Hg", "Hg"],
  "fractional_positions": [[0.000, 0.000, 0.000], [0.000, 0.000, 0.247], [0.000, 0.000, 0.753], [0.333, 0.667, 0.096], [0.667, 0.333, 0.904], [0.333, 0.667, 0.582], [0.667, 0.333, 0.418], [0.333, 0.667, 0.330], [0.333, 0.667, 0.860], [0.667, 0.333, 0.140], [0.667, 0.333, 0.670]],
  "sg": "P-3m1, No. 164",
  "magmom_total_mub_per_atom": 0.00,
  "energy_ev_per_atom": -1.61,
  "ef_ev_per_fu": -2.1
}

{
  "formula": "LiMg2In2Hg5",
  "functional": "PBE-GGA",
  "state": "optimized geometry",
  "lattice": [[11.280, 0.000, 0.000], [0.000, 11.280, 0.000], [0.000, 0.000, 3.771]],
  "species": ["Li", "Li", "Mg", "Mg", "Mg", "Mg", "In", "In", "In", "In", "Hg", "Hg", "Hg", "Hg", "Hg", "Hg", "Hg", "Hg", "Hg", "Hg"],
  "fractional_positions": [[0.000, 0.000, 0.000], [0.500, 0.500, 0.000], [0.142, 0.358, 0.000], [0.358, 0.858, 0.000], [0.642, 0.142, 0.000], [0.858, 0.642, 0.000], [0.168, 0.668, 0.000], [0.332, 0.168, 0.000], [0.668, 0.832, 0.000], [0.832, 0.332, 0.000], [0.000, 0.500, 0.500], [0.022, 0.195, 0.500], [0.195, 0.978, 0.500], [0.305, 0.478, 0.500], [0.478, 0.695, 0.500], [0.500, 0.000, 0.500], [0.522, 0.305, 0.500], [0.695, 0.522, 0.500], [0.805, 0.022, 0.500], [0.978, 0.805, 0.500]],
  "sg": "P4/mbm, No. 127",
  "magmom_total_mub_per_atom": 0.00,
  "energy_ev_per_atom": -1.32,
  "ef_ev_per_fu": -1.1
}